Record 1
The following is a DFT calculation (PBE) of a relaxed structure of Pd3PtI8.

Computed properties:
* formation energy without anion corrections: -2.15 eV per formula unit

Unit cell a=18.372 b=7.732 c=7.686 alpha=90.00 beta=109.90 gamma=90.00
Space group C2/m (No. 12)
Symmetry-distinct sites (fractional):
Pd: 0.000 0.000 0.000
Pd: 0.250 0.250 0.500
Pt: 0.000 0.500 0.000
I: 0.031 0.251 0.806
I: 0.208 0.000 0.678
I: 0.234 0.500 0.717

Record 2
The following is a DFT calculation (PBE) of a relaxed structure of BaMn2N2.

Computed properties:
* formation energy without anion corrections: -1.19 eV per formula unit
* energy above the lowest structure with this stoichiometry: 141 meV per atom

Unit cell a=6.247 b=6.247 c=9.617 alpha=90.00 beta=90.00 gamma=90.00
Space group I4/mcm (No. 140)
Symmetry-distinct sites (fractional):
Ba: 0.000 0.000 0.250
Mn: 0.136 0.364 0.000
N: 0.160 0.340 0.500